Record 1
# TbNi2Ge PBE-GGA optimized geometry
# - M_tot: 0.00 μB/f.u.
# - ΔE_f: -0.39 eV/atom
# - Space-group type: Pmmm, No. 47
# - V: 18.0 Å³/atom
data_TbNi2Ge
_cell_length_a 3.924
_cell_length_b 3.620
_cell_length_c 5.064
_cell_angle_alpha 90.01
_cell_angle_beta 90.00
_cell_angle_gamma 90.00
_symmetry_space_group_name_H-M 'P 1'
_symmetry_Int_Tables_number 1
_symmetry_space_group_name_Hall 'P 1'
loop_
_atom_site_label
_atom_site_fract_x
_atom_site_fract_y
_atom_site_fract_z
_atom_site_occupancy
Tb1 0.500 0.500 0.000 1
Ni1 0.000 0.000 0.244 1
Ni2 0.000 0.000 0.756 1
Ge1 0.500 0.000 0.500 1

Record 2
# LiCoAu2 PBE-GGA optimized geometry
# - M_tot: 1.81 μB/f.u.
# - ΔE_f: -0.08 eV/atom
# - Space-group type: P2/m, No. 10
# - V: 15.0 Å³/atom
data_LiCoAu2
_cell_length_a 3.699
_cell_length_b 2.787
_cell_length_c 6.451
_cell_angle_alpha 64.69
_cell_angle_beta 90.00
_cell_angle_gamma 90.00
_symmetry_space_group_name_H-M 'P 1'
_symmetry_Int_Tables_number 1
_symmetry_space_group_name_Hall 'P 1'
loop_
_atom_site_label
_atom_site_fract_x
_atom_site_fract_y
_atom_site_fract_z
_atom_site_occupancy
Au1 0.000 0.997 0.002 1
Au2 0.000 0.503 0.498 1
Co1 0.500 0.250 0.250 1
Li1 0.500 0.750 0.750 1

Record 3
# HgPtC3 PBE-GGA optimized geometry
# - M_tot: 0.00 μB/f.u.
# - ΔE_f: 2.50 eV/atom
# - Space-group type: Pm-3m, No. 221
# - Energy above the lowest structure with this stoichiometry: 0 meV/atom
# - V: 13.9 Å³/atom
data_HgPtC3
_cell_length_a 4.115
_cell_length_b 4.115
_cell_length_c 4.115
_cell_angle_alpha 90.00
_cell_angle_beta 90.00
_cell_angle_gamma 90.00
_symmetry_space_group_name_H-M 'P 1'
_symmetry_Int_Tables_number 1
_symmetry_space_group_name_Hall 'P 1'
loop_
_atom_site_label
_atom_site_fract_x
_atom_site_fract_y
_atom_site_fract_z
_atom_site_occupancy
C1 0.000 0.500 0.000 1
C2 0.000 0.000 0.500 1
C3 0.500 0.000 0.000 1
Hg1 0.500 0.500 0.500 1
Pt1 0.000 0.000 0.000 1

Record 4
# Cd6Hg8Pb PBE-GGA optimized geometry
# - M_tot: 0.00 μB/f.u.
# - ΔE_f: 0.05 eV/atom
# - Space-group type: P-3, No. 147
# - V: 27.3 Å³/atom
data_Cd6Hg8Pb
_cell_length_a 5.873
_cell_length_b 8.971
_cell_length_c 8.971
_cell_angle_alpha 120.00
_cell_angle_beta 90.00
_cell_angle_gamma 90.00
_symmetry_space_group_name_H-M 'P 1'
_symmetry_Int_Tables_number 1
_symmetry_space_group_name_Hall 'P 1'
loop_
_atom_site_label
_atom_site_fract_x
_atom_site_fract_y
_atom_site_fract_z
_atom_site_occupancy
Cd1 0.705 0.619 0.001 1
Cd2 0.705 0.999 0.617 1
Cd3 0.705 0.383 0.381 1
Cd4 0.295 0.381 0.999 1
Cd5 0.295 0.001 0.383 1
Cd6 0.295 0.617 0.619 1
Hg1 0.820 0.001 0.285 1
Hg2 0.820 0.715 0.717 1
Hg3 0.820 0.283 0.999 1
Hg4 0.180 0.999 0.715 1
Hg5 0.180 0.285 0.283 1
Hg6 0.180 0.717 0.001 1
Hg7 0.501 0.333 0.667 1
Hg8 0.499 0.667 0.333 1
Pb1 0.500 0.000 0.000 1

Record 5
# LaTbCe2 PBE-GGA optimized geometry
# - M_tot: 0.90 μB/f.u.
# - ΔE_f: 0.20 eV/atom
# - Space-group type: R-3m, No. 166
# - Energy above the lowest structure with this stoichiometry: 88 meV/atom
# - V: 30.6 Å³/atom
data_LaTbCe2
_cell_length_a 3.393
_cell_length_b 3.393
_cell_length_c 12.416
_cell_angle_alpha 82.15
_cell_angle_beta 82.15
_cell_angle_gamma 60.00
_symmetry_space_group_name_H-M 'P 1'
_symmetry_Int_Tables_number 1
_symmetry_space_group_name_Hall 'P 1'
loop_
_atom_site_label
_atom_site_fract_x
_atom_site_fract_y
_atom_site_fract_z
_atom_site_occupancy
Tb1 0.500 0.500 0.500 1
Ce1 0.087 0.087 0.739 1
Ce2 0.913 0.913 0.261 1
La1 0.000 0.000 0.000 1

Record 6
# Sr2LaDySe4 PBE-GGA optimized geometry
# - M_tot: 0.00 μB/f.u.
# - E: -5.28 eV/atom
# - Space-group type: P2/m, No. 10
# - V: 28.3 Å³/atom
data_Sr2LaDySe4
_cell_length_a 4.276
_cell_length_b 7.415
_cell_length_c 7.546
_cell_angle_alpha 109.05
_cell_angle_beta 90.00
_cell_angle_gamma 90.00
_symmetry_space_group_name_H-M 'P 1'
_symmetry_Int_Tables_number 1
_symmetry_space_group_name_Hall 'P 1'
loop_
_atom_site_label
_atom_site_fract_x
_atom_site_fract_y
_atom_site_fract_z
_atom_site_occupancy
Sr1 0.500 0.000 0.500 1
Sr2 0.000 0.500 0.500 1
La1 0.500 0.500 0.000 1
Dy1 0.000 0.000 0.000 1
Se1 0.500 0.236 0.234 1
Se2 0.500 0.764 0.766 1
Se3 0.000 0.244 0.760 1
Se4 0.000 0.756 0.240 1

Record 7
# Ac12Co2Ni5 PBE-GGA optimized geometry
# - M_tot: 0.00 μB/f.u.
# - ΔE_f: -0.09 eV/atom
# - Space-group type: C2/m, No. 12
# - V: 32.5 Å³/atom
data_Ac12Co2Ni5
_cell_length_a 7.930
_cell_length_b 9.267
_cell_length_c 9.633
_cell_angle_alpha 103.99
_cell_angle_beta 90.00
_cell_angle_gamma 115.33
_symmetry_space_group_name_H-M 'P 1'
_symmetry_Int_Tables_number 1
_symmetry_space_group_name_Hall 'P 1'
loop_
_atom_site_label
_atom_site_fract_x
_atom_site_fract_y
_atom_site_fract_z
_atom_site_occupancy
Ac1 0.972 0.944 0.195 1
Ac2 0.084 0.647 0.886 1
Ac3 0.563 0.647 0.886 1
Ac4 0.107 0.711 0.451 1
Ac5 0.604 0.711 0.451 1
Ac6 0.510 0.019 0.792 1
Ac7 0.490 0.981 0.208 1
Ac8 0.893 0.289 0.549 1
Ac9 0.396 0.289 0.549 1
Ac10 0.916 0.353 0.114 1
Ac11 0.437 0.353 0.114 1
Ac12 0.028 0.056 0.805 1
Co1 0.755 0.000 0.000 1
Co2 0.245 0.000 0.000 1
Ni1 0.296 0.592 0.640 1
Ni2 0.311 0.622 0.157 1
Ni3 0.000 0.000 0.500 1
Ni4 0.689 0.378 0.843 1
Ni5 0.704 0.408 0.360 1

Record 8
# TbPm2Th2 PBE-GGA optimized geometry
# - M_tot: 0.00 μB/f.u.
# - ΔE_f: 0.03 eV/atom
# - Space-group type: R-3m, No. 166
# - Energy above the lowest structure with this stoichiometry: 0 meV/atom
# - V: 33.0 Å³/atom
data_TbPm2Th2
_cell_length_a 3.609
_cell_length_b 3.609
_cell_length_c 14.778
_cell_angle_alpha 82.99
_cell_angle_beta 82.99
_cell_angle_gamma 60.00
_symmetry_space_group_name_H-M 'P 1'
_symmetry_Int_Tables_number 1
_symmetry_space_group_name_Hall 'P 1'
loop_
_atom_site_label
_atom_site_fract_x
_atom_site_fract_y
_atom_site_fract_z
_atom_site_occupancy
Tb1 0.000 0.000 0.000 1
Pm1 0.797 0.797 0.608 1
Pm2 0.203 0.203 0.392 1
Th1 0.399 0.399 0.803 1
Th2 0.601 0.601 0.197 1

Record 9
# YBPO2 PBE-GGA optimized geometry
# - M_tot: 0.00 μB/f.u.
# - Space-group type: P4/mmm, No. 123
# - Energy above the lowest structure with this stoichiometry: 0 meV/atom
# - V: 11.7 Å³/atom
data_YBPO2
_cell_length_a 3.880
_cell_length_b 3.880
_cell_length_c 3.887
_cell_angle_alpha 90.00
_cell_angle_beta 90.00
_cell_angle_gamma 90.00
_symmetry_space_group_name_H-M 'P 1'
_symmetry_Int_Tables_number 1
_symmetry_space_group_name_Hall 'P 1'
loop_
_atom_site_label
_atom_site_fract_x
_atom_site_fract_y
_atom_site_fract_z
_atom_site_occupancy
Y1 0.500 0.500 0.500 1
P1 0.000 0.000 0.500 1
B1 0.000 0.000 0.000 1
O1 0.000 0.500 0.000 1
O2 0.500 0.000 0.000 1

Record 10
# Tb7TmTl2 PBE-GGA optimized geometry
# - M_tot: 0.00 μB/f.u.
# - ΔE_f: 0.36 eV/atom
# - Space-group type: Cmmm, No. 65
# - V: 38.1 Å³/atom
data_Tb7TmTl2
_cell_length_a 5.268
_cell_length_b 9.111
_cell_length_c 9.111
_cell_angle_alpha 119.38
_cell_angle_beta 90.00
_cell_angle_gamma 90.00
_symmetry_space_group_name_H-M 'P 1'
_symmetry_Int_Tables_number 1
_symmetry_space_group_name_Hall 'P 1'
loop_
_atom_site_label
_atom_site_fract_x
_atom_site_fract_y
_atom_site_fract_z
_atom_site_occupancy
Tb1 0.000 0.777 0.223 1
Tb2 0.000 0.223 0.777 1
Tb3 0.500 0.063 0.300 1
Tb4 0.500 0.937 0.700 1
Tb5 0.500 0.300 0.063 1
Tb6 0.500 0.700 0.937 1
Tb7 0.500 0.500 0.500 1
Tm1 0.000 0.000 0.000 1
Tl1 0.500 0.693 0.307 1
Tl2 0.500 0.307 0.693 1

Record 11
# CaPr2Ir PBE-GGA optimized geometry
# - M_tot: 0.00 μB/f.u.
# - ΔE_f: -0.37 eV/atom
# - Space-group type: P2_1/c, No. 14
# - Energy above the lowest structure with this stoichiometry: 0 meV/atom
# - V: 33.3 Å³/atom
data_CaPr2Ir
_cell_length_a 6.772
_cell_length_b 7.568
_cell_length_c 10.410
_cell_angle_alpha 90.00
_cell_angle_beta 90.00
_cell_angle_gamma 90.00
_symmetry_space_group_name_H-M 'P 1'
_symmetry_Int_Tables_number 1
_symmetry_space_group_name_Hall 'P 1'
loop_
_atom_site_label
_atom_site_fract_x
_atom_site_fract_y
_atom_site_fract_z
_atom_site_occupancy
Ca1 0.770 0.750 0.871 1
Ca2 0.270 0.750 0.129 1
Ca3 0.730 0.250 0.871 1
Ca4 0.230 0.250 0.129 1
Pr1 0.250 0.500 0.804 1
Pr2 0.250 0.000 0.804 1
Pr3 0.750 0.000 0.545 1
Pr4 0.750 0.000 0.196 1
Pr5 0.250 0.000 0.455 1
Pr6 0.250 0.500 0.455 1
Pr7 0.750 0.500 0.196 1
Pr8 0.750 0.500 0.545 1
Ir1 0.956 0.250 0.352 1
Ir2 0.544 0.750 0.352 1
Ir3 0.044 0.750 0.648 1
Ir4 0.456 0.250 0.648 1

Record 12
# BeVFe2H PBE-GGA optimized geometry
# - M_tot: 0.00 μB/f.u.
# - Space-group type: P4/mmm, No. 123
# - Energy above the lowest structure with this stoichiometry: 0 meV/atom
# - V: 8.6 Å³/atom
data_BeVFe2H
_cell_length_a 3.762
_cell_length_b 3.762
_cell_length_c 3.039
_cell_angle_alpha 90.00
_cell_angle_beta 90.00
_cell_angle_gamma 90.00
_symmetry_space_group_name_H-M 'P 1'
_symmetry_Int_Tables_number 1
_symmetry_space_group_name_Hall 'P 1'
loop_
_atom_site_label
_atom_site_fract_x
_atom_site_fract_y
_atom_site_fract_z
_atom_site_occupancy
Be1 0.000 0.000 0.500 1
Fe1 0.000 0.500 0.000 1
Fe2 0.500 0.000 0.000 1
H1 0.000 0.000 0.000 1
V1 0.500 0.500 0.500 1